Arrangement w

Entry from Alexandria: Be3BiC after structural relaxation (GGA-PBE).

Summary:
Total magnetic moment: 0.00 μB per atom
Space group: No. 221

```
data_Be3BiC
_chemical_formula_sum 'Be3 Bi1 C1'
_cell_length_a 3.9080
_cell_length_b 3.9080
_cell_length_c 3.9080
_cell_angle_alpha 90.00
_cell_angle_beta 90.00
_cell_angle_gamma 90.00
_space_group_name_H-M_alt 'P 1'
_space_group_IT_number 1
loop_
_space_group_symop_operation_xyz
'x,y,z'
loop_
_atom_site_label
_atom_site_fract_x
_atom_site_fract_y
_atom_site_fract_z
_atom_site_occupancy
Bi1 0.5000 0.5000 0.5000 1
Be1 0.0000 0.0000 0.5000 1
Be2 0.5000 0.0000 0.0000 1
Be3 0.0000 0.5000 0.0000 1
C1 0.0000 0.0000 0.0000 1
```

=====

Arrangement x

Entry from Alexandria: Be3BiC after structural relaxation (GGA-PBE).

Summary:
Total magnetic moment: 0.21 μB per atom
Space group: No. 221

```
data_Be3BiC
_chemical_formula_sum 'Be3 Bi1 C1'
_cell_length_a 4.6887
_cell_length_b 4.6887
_cell_length_c 4.6887
_cell_angle_alpha 90.00
_cell_angle_beta 90.00
_cell_angle_gamma 90.00
_space_group_name_H-M_alt 'P 1'
_space_group_IT_number 1
loop_
_space_group_symop_operation_xyz
'x,y,z'
loop_
_atom_site_label
_atom_site_fract_x
_atom_site_fract_y
_atom_site_fract_z
_atom_site_occupancy
Be1 0.0000 0.5000 0.0000 1
Be2 0.0000 0.0000 0.5000 1
Be3 0.5000 0.0000 0.0000 1
C1 0.5000 0.5000 0.5000 1
Bi1 0.0000 0.0000 0.0000 1
```

=====

Result of the stability comparison: arrangement w is the most stable of them.